1.
The following is a GGA-PBE calculation of a relaxed ZnCrSbI2 crystal, from Alexandria via LeMat-Bulk.

Cell lengths 5.5183, 5.5183, 5.3031 Å; angles 90.00, 90.00, 90.00 degrees
Site moments in Bohr magnetons follow the coordinates.
Positions (direct):
I 0.0000 0.5000 0.0000  -0.01
I 0.5000 0.0000 0.0000  -0.01
Cr 0.0000 0.0000 0.0000  3.17
Sb 0.0000 0.0000 0.5000  -0.27
Zn 0.5000 0.5000 0.5000  -0.02

- Formation energy (no corrections): 331.0 meV/atom
- ΔE to the lowest computed polymorph: 0 meV per atom
- SG: P4/mmm

***

2.
The following is a GGA-PBE calculation of a relaxed LaRe2W crystal, from Alexandria via LeMat-Bulk.

Cell lengths 4.9902, 4.9902, 5.8589 Å; angles 73.77, 73.77, 36.28 degrees
Positions (direct):
Re 0.4737 0.4737 0.5867
Re 0.0263 0.0263 0.9133
La 0.2500 0.2500 0.2500
W 0.7500 0.7500 0.7500

- ΔH_f (0 K): 0.5597 eV/atom
- ΔE to the lowest computed polymorph: 224 meV per atom
- SG: C2/m

***

3.
The following is a GGA-PBE calculation of a relaxed LaFe2Pt crystal, from Alexandria via LeMat-Bulk.

Cell lengths 4.4273, 4.4273, 9.5190 Å; angles 76.55, 76.55, 90.00 degrees
Site moments in Bohr magnetons follow the coordinates.
Positions (direct):
Pt 0.0000 0.0000 0.0000  0.12
Pt 0.7500 0.2500 0.5000  0.12
Fe 0.8750 0.1142 0.7500  2.36
Fe 0.8858 0.6250 0.2500  2.46
Fe 0.8642 0.1250 0.2500  2.46
Fe 0.3750 0.1358 0.7500  2.36
La 0.2500 0.7500 0.5000  -0.16
La 0.5000 0.5000 0.0000  -0.16

- ΔH_f (0 K): 0.0099 eV/atom
- SG: I-42d

***

4.
The following is a GGA-PBE calculation of a relaxed AlSe5 crystal, from Alexandria via LeMat-Bulk.

Cell lengths 7.1451, 7.1451, 3.6255 Å; angles 90.00, 90.00, 120.00 degrees
Positions (direct):
Se 0.6667 0.3333 0.0000
Se 0.5000 0.5000 0.5000
Se 0.0000 0.5000 0.5000
Se 0.3333 0.6667 0.0000
Se 0.5000 0.0000 0.5000
Al 0.0000 0.0000 0.0000

- Formation energy (no corrections): 430.0 meV/atom
- ΔE to the lowest computed polymorph: 603 meV per atom
- SG: P6/mmm

***

5.
The following is a GGA-PBE calculation of a relaxed Nd2Sm7Sc2 crystal, from Alexandria via LeMat-Bulk.

Cell lengths 10.1943, 8.7384, 10.1943 Å; angles 39.22, 125.20, 140.78 degrees
Positions (direct):
Sc 0.3314 0.5000 0.3314
Sc 0.6686 0.5000 0.6686
Sm 0.9217 0.2524 0.4538
Sm 0.0000 0.0000 0.0000
Sm 0.4537 0.7476 0.9217
Sm 0.5463 0.2524 0.0783
Sm 0.3930 0.6427 0.6070
Sm 0.6070 0.3573 0.3930
Sm 0.0783 0.7476 0.5462
Nd 0.1532 0.8907 0.8468
Nd 0.8468 0.1093 0.1532

- ΔH_f (0 K): 0.1087 eV/atom
- ΔE to the lowest computed polymorph: 0 meV per atom
- SG: C2/m

***

6.
The following is a GGA-PBE calculation of a relaxed KCeIr4 crystal, from Alexandria via LeMat-Bulk.

Cell lengths 5.4111, 5.4111, 5.4111 Å; angles 60.00, 60.00, 60.00 degrees
Positions (direct):
Ir 0.1253 0.6249 0.6249
Ir 0.6249 0.6249 0.1253
Ir 0.6249 0.1253 0.6249
Ir 0.6249 0.6249 0.6249
Ce 0.0000 0.0000 0.0000
K 0.2500 0.2500 0.2500

- ΔH_f (0 K): -0.1831 eV/atom
- SG: F-43m